An optimized crystal structure of In2AgW. Source: Alexandria via LeMat-Bulk, functional GGA-PBE.

Values from the calculation:
Excess energy over the best structure of this formula in the dataset, meV per atom: 49
Magnetization, μB/f.u.: 0.000
Mass density, Mg/m³: 11.11

a b c (Å): 2.929 2.929 9.081
angles (deg): 90.00 90.00 90.00
Space group P4/mmm (No. 123)
Unique sites:
In 0.000 0.000 0.241 x2
Ag 0.500 0.500 0.500 x1
W 0.500 0.500 0.000 x1


An optimized crystal structure of CaHgBr4. Source: Alexandria via LeMat-Bulk, functional GGA-PBE.

Values from the calculation:
Raw formation energy, eV per atom: -0.31
Excess energy over the best structure of this formula in the dataset, meV per atom: 904
Magnetization, μB/f.u.: 1.898
Mass density, Mg/m³: 4.93

a b c (Å): 9.108 9.108 9.108
angles (deg): 90.00 90.00 90.00
Space group F-43m (No. 216)
Unique sites:
Ca 0.000 0.000 0.000 x4
Hg 0.250 0.250 0.750 x4
Br 0.125 0.125 0.375 x16


An optimized crystal structure of EuZnCuHg. Source: Alexandria via LeMat-Bulk, functional GGA-PBE.

Values from the calculation:
Magnetization, μB/f.u.: 7.134
DFT total energy, eV/atom: -4.116
Mass density, Mg/m³: 9.61

a b c (Å): 6.929 6.929 6.929
angles (deg): 90.00 90.00 90.00
Space group F-43m (No. 216)
Unique sites:
Eu 0.000 0.000 0.000 x4
Zn 0.250 0.250 0.750 x4
Cu 0.250 0.250 0.250 x4
Hg 0.000 0.000 0.500 x4


An optimized crystal structure of KSrCr2. Source: Alexandria via LeMat-Bulk, functional GGA-PBE.

Values from the calculation:
Excess energy over the best structure of this formula in the dataset, meV per atom: 460
Magnetization, μB/f.u.: 9.068
Mass density, Mg/m³: 2.55

a b c (Å): 11.149 3.470 7.820
angles (deg): 90.00 97.27 90.00
Space group C2/m (No. 12)
Unique sites:
K 0.000 0.000 0.000 x2
Sr 0.000 0.500 0.500 x2
Cr 0.248 0.000 0.662 x4


An optimized crystal structure of ZrCr2Cl. Source: Alexandria via LeMat-Bulk, functional GGA-PBE.

Values from the calculation:
Raw formation energy, eV per atom: 0.23
Excess energy over the best structure of this formula in the dataset, meV per atom: 344
Magnetization, μB/f.u.: 7.031
Mass density, Mg/m³: 5.01

a b c (Å): 3.2353 3.2353 25.2989
angles (deg): 90.00 90.00 120.00
Space group R-3m (No. 166, hexagonal axes)
Unique sites:
Zr 0.0000 0.0000 0.0000 x3
Cr 0.0000 0.0000 0.2462 x6
Cl 0.0000 0.0000 0.5000 x3


An optimized crystal structure of SiHg2PIr. Source: Alexandria via LeMat-Bulk, functional GGA-PBE.

Values from the calculation:
Raw formation energy, eV per atom: 0.98
Magnetization, μB/f.u.: 0.000
Mass density, Mg/m³: 9.54

a b c (Å): 5.017 5.017 4.510
angles (deg): 90.00 90.00 90.00
Space group P4/mmm (No. 123)
Unique sites:
Si 0.000 0.000 0.000 x1
Hg 0.000 0.500 0.000 x2
P 0.500 0.500 0.500 x1
Ir 0.000 0.000 0.500 x1


An optimized crystal structure of Be2Hg2Pb. Source: Alexandria via LeMat-Bulk, functional GGA-PBE.

Values from the calculation:
Magnetization, μB/f.u.: 0.000
DFT total energy, eV/atom: -1.949
Mass density, Mg/m³: 10.40

a b c (Å): 4.206 4.206 11.309
angles (deg): 90.00 90.00 90.00
Space group I4/mmm (No. 139)
Unique sites:
Be 0.000 0.500 0.250 x4
Hg 0.000 0.000 0.137 x4
Pb 0.000 0.000 0.500 x2


An optimized crystal structure of Th5Os2. Source: Alexandria via LeMat-Bulk, functional GGA-PBE.

Values from the calculation:
Magnetization, μB/f.u.: 0.000
DFT total energy, eV/atom: -8.775
Mass density, Mg/m³: 12.89

a b c (Å): 16.898 6.507 7.269
angles (deg): 90.00 96.70 90.00
Space group C2/c (No. 15)
Unique sites:
Th 0.000 0.087 0.250 x4
Th 0.095 0.407 0.916 x8
Th 0.217 0.088 0.315 x8
Os 0.110 0.188 0.587 x8